No. 1
ZnCdRe2: optimized geometry, PBE-GGA.

Geometry as CIF:
```
data_ZnCdRe2
_chemical_formula_sum 'Zn2 Cd2 Re4'
_space_group_name_H-M_alt 'I 4/m m m'
_space_group_IT_number 139
_space_group_name_Hall '-I 4 2'
_cell_length_a 3.777
_cell_length_b 3.777
_cell_length_c 9.029
_cell_angle_alpha 90.00
_cell_angle_beta 90.00
_cell_angle_gamma 90.00
loop_
_atom_site_label
_atom_site_fract_x
_atom_site_fract_y
_atom_site_fract_z
Zn1 0.000 0.000 0.000
Cd1 0.000 0.000 0.500
Re1 0.000 0.500 0.250
```

## Properties
magnetization: 0.00 Bohr magnetons per cell
relative energy among the computed polymorphs: 485 meV/atom
energy of formation from the pure elements: 648 meV per atom
Fermi-level density of states: 8.3 states/eV/cell

---

No. 2
AcMg3Au2: optimized geometry, PBE-GGA.

Geometry as CIF:
```
data_AcMg3Au2
_chemical_formula_sum 'Ac3 Mg9 Au6'
_space_group_name_H-M_alt 'P 6/m m m'
_space_group_IT_number 191
_space_group_name_Hall '-P 6 2'
_cell_length_a 10.5338
_cell_length_b 10.5338
_cell_length_c 4.4525
_cell_angle_alpha 90.00
_cell_angle_beta 90.00
_cell_angle_gamma 120.00
loop_
_atom_site_label
_atom_site_fract_x
_atom_site_fract_y
_atom_site_fract_z
Ac1 0.0000 0.0000 0.0000
Ac2 0.3333 0.6667 0.5000
Mg1 0.0000 0.2964 0.5000
Mg2 0.0000 0.5000 0.0000
Au1 0.1923 0.3845 0.0000
```

## Properties
magnetization: 0.00 Bohr magnetons per cell
relative energy among the computed polymorphs: 0 meV/atom
energy of formation from the pure elements: -595 meV per atom
Fermi-level density of states: 10.7 states/eV/cell

---

No. 3
Dy2InRu: optimized geometry, PBE-GGA.

Geometry as CIF:
```
data_Dy2InRu
_chemical_formula_sum 'Dy8 In4 Ru4'
_space_group_name_H-M_alt 'F m -3 m'
_space_group_IT_number 225
_space_group_name_Hall '-F 4 2 3'
_cell_length_a 7.156
_cell_length_b 7.156
_cell_length_c 7.156
_cell_angle_alpha 90.00
_cell_angle_beta 90.00
_cell_angle_gamma 90.00
loop_
_atom_site_label
_atom_site_fract_x
_atom_site_fract_y
_atom_site_fract_z
Dy1 0.250 0.250 0.250
In1 0.000 0.000 0.000
Ru1 0.000 0.000 0.500
```

## Properties
magnetization: 0.00 Bohr magnetons per cell
relative energy among the computed polymorphs: 126 meV/atom
energy of formation from the pure elements: -337 meV per atom
Fermi-level density of states: 10.6 states/eV/cell

---

No. 4
Pm2GaCu7: optimized geometry, PBE-GGA.

Geometry as CIF:
```
data_Pm2GaCu7
_chemical_formula_sum 'Pm2 Ga1 Cu7'
_space_group_name_H-M_alt 'P -4 m 2'
_space_group_IT_number 115
_cell_length_a 4.047
_cell_length_b 4.047
_cell_length_c 10.374
_cell_angle_alpha 90.00
_cell_angle_beta 90.00
_cell_angle_gamma 90.00
loop_
_space_group_symop_operation_xyz
'x,y,z'
'y,-x,-z'
'-x,-y,z'
'-y,x,-z'
'-x,y,z'
'-y,-x,-z'
'x,-y,z'
'y,x,-z'
loop_
_atom_site_label
_atom_site_fract_x
_atom_site_fract_y
_atom_site_fract_z
Pm1 0.000 0.500 0.244
Ga1 0.000 0.000 0.500
Cu1 0.000 0.000 0.000
Cu2 0.000 0.500 0.638
Cu3 0.000 0.500 0.869
Cu4 0.500 0.500 0.000
Cu5 0.500 0.500 0.500
```

## Properties
magnetization: 0.00 Bohr magnetons per cell
energy of formation from the pure elements: -185 meV per atom
Fermi-level density of states: 4.0 states/eV/cell

---

No. 5
Ac2PaS5: optimized geometry, PBE-GGA.

Geometry as CIF:
```
data_Ac2PaS5
_chemical_formula_sum 'Ac8 Pa4 S20'
_space_group_name_H-M_alt 'C m c m'
_space_group_IT_number 63
_space_group_name_Hall '-C 2c 2'
_cell_length_a 5.530
_cell_length_b 14.579
_cell_length_c 13.882
_cell_angle_alpha 90.00
_cell_angle_beta 90.00
_cell_angle_gamma 90.00
loop_
_atom_site_label
_atom_site_fract_x
_atom_site_fract_y
_atom_site_fract_z
Ac1 0.000 0.143 0.067
Pa1 0.000 0.184 0.750
S1 0.000 0.050 0.621
S2 0.000 0.267 0.250
S3 0.000 0.294 0.587
```

## Properties
formation energy without anion corrections: -183 kJ per mole of atoms
magnetization: 4.05 Bohr magnetons per cell
relative energy among the computed polymorphs: 125 meV/atom
Fermi-level density of states: 11.4 states/eV/cell

---

No. 6
K2TiSiPd: optimized geometry, PBE-GGA.

Geometry as CIF:
```
data_K2TiSiPd
_chemical_formula_sum 'K2 Ti1 Si1 Pd1'
_space_group_name_H-M_alt 'P 4/m m m'
_space_group_IT_number 123
_space_group_name_Hall '-P 4 2'
_cell_length_a 6.396
_cell_length_b 6.396
_cell_length_c 4.793
_cell_angle_alpha 90.00
_cell_angle_beta 90.00
_cell_angle_gamma 90.00
loop_
_atom_site_label
_atom_site_fract_x
_atom_site_fract_y
_atom_site_fract_z
K1 0.000 0.500 0.000
Ti1 0.000 0.000 0.000
Si1 0.000 0.000 0.500
Pd1 0.500 0.500 0.500
```

## Properties
formation energy without anion corrections: 102 kJ per mole of atoms
magnetization: 1.83 Bohr magnetons per cell
relative energy among the computed polymorphs: 0 meV/atom
Fermi-level density of states: 7.5 states/eV/cell

---

No. 7
Li2ZnPb2: optimized geometry, PBE-GGA.

Geometry as CIF:
```
data_Li2ZnPb2
_chemical_formula_sum 'Li4 Zn2 Pb4'
_space_group_name_H-M_alt 'P 4/m b m'
_space_group_IT_number 127
_space_group_name_Hall '-P 4 2ab'
_cell_length_a 6.969
_cell_length_b 6.969
_cell_length_c 4.419
_cell_angle_alpha 90.00
_cell_angle_beta 90.00
_cell_angle_gamma 90.00
loop_
_atom_site_label
_atom_site_fract_x
_atom_site_fract_y
_atom_site_fract_z
Li1 0.140 0.360 0.000
Zn1 0.000 0.000 0.000
Pb1 0.172 0.672 0.500
```

## Properties
magnetization: 0.00 Bohr magnetons per cell
energy of formation from the pure elements: -105 meV per atom
Fermi-level density of states: 3.4 states/eV/cell

---

No. 8
Y4FeAg: optimized geometry, PBE-GGA.

Geometry as CIF:
```
data_Y4FeAg
_chemical_formula_sum 'Y16 Fe4 Ag4'
_space_group_name_H-M_alt 'F -4 3 m'
_space_group_IT_number 216
_space_group_name_Hall 'F -4 2 3'
_cell_length_a 8.743
_cell_length_b 8.743
_cell_length_c 8.743
_cell_angle_alpha 90.00
_cell_angle_beta 90.00
_cell_angle_gamma 90.00
loop_
_atom_site_label
_atom_site_fract_x
_atom_site_fract_y
_atom_site_fract_z
Y1 0.125 0.125 0.125
Fe1 0.000 0.000 0.500
Ag1 0.250 0.250 0.750
```

## Properties
magnetization: 10.53 Bohr magnetons per cell
relative energy among the computed polymorphs: 869 meV/atom
energy of formation from the pure elements: 768 meV per atom
Fermi-level density of states: 37.9 states/eV/cell

---

No. 9
CdPCl2: optimized geometry, PBE-GGA.

Geometry as CIF:
```
data_CdPCl2
_chemical_formula_sum 'Cd2 P2 Cl4'
_space_group_name_H-M_alt 'C 1 2/m 1'
_space_group_IT_number 12
_cell_length_a 13.758
_cell_length_b 3.298
_cell_length_c 5.315
_cell_angle_alpha 90.00
_cell_angle_beta 112.60
_cell_angle_gamma 90.00
loop_
_space_group_symop_operation_xyz
'x,y,z'
'-x,-y,-z'
'-x,y,-z'
'x,-y,z'
'x+1/2,y+1/2,z'
'-x+1/2,-y+1/2,-z'
'-x+1/2,y+1/2,-z'
'x+1/2,-y+1/2,z'
loop_
_atom_site_label
_atom_site_fract_x
_atom_site_fract_y
_atom_site_fract_z
Cd1 0.000 0.000 0.000
P1 0.000 0.500 0.500
Cl1 0.144 0.000 0.642
```

## Properties
formation energy without anion corrections: -5 kJ per mole of atoms
magnetization: 0.00 Bohr magnetons per cell
relative energy among the computed polymorphs: 339 meV/atom
Fermi-level density of states: 0.9 states/eV/cell

---

No. 10
Ce4TmTh3Se8: optimized geometry, PBE-GGA.

Geometry as CIF:
```
data_Ce4TmTh3Se8
_chemical_formula_sum 'Ce12 Tm3 Th9 Se24'
_space_group_name_H-M_alt 'R -3 m'
_space_group_IT_number 166
_space_group_name_Hall '-R 3 2"'
_cell_length_a 8.3689
_cell_length_b 8.3689
_cell_length_c 20.4283
_cell_angle_alpha 90.00
_cell_angle_beta 90.00
_cell_angle_gamma 120.00
loop_
_atom_site_label
_atom_site_fract_x
_atom_site_fract_y
_atom_site_fract_z
Ce1 0.0000 0.0000 0.0000
Ce2 0.0000 0.5000 0.0000
Tm1 0.0000 0.0000 0.5000
Th1 0.0000 0.5000 0.5000
Se1 0.0000 0.0000 0.2511
Se2 0.0098 0.5049 0.2485
```

## Properties
formation energy without anion corrections: -164 kJ per mole of atoms
magnetization: 10.64 Bohr magnetons per cell
Fermi-level density of states: 79.1 states/eV/cell